Rb2TlMo2O7 | GGA+U | optimized geometry

The electronic total energy is -214.6 eV for the cell shown.

a = 6.7718 Å, b = 6.7718 Å, c = 25.1076 Å
α = 90.00°, β = 90.00°, γ = 120.00°
Space group R32 (No. 155, hexagonal axes)
One atom of each set of equivalent atoms:
1 Rb 0.0000 0.0000 0.2227 (multiplicity 6)
2 Tl 0.0000 0.0000 0.5000 (multiplicity 3)
3 Mo 0.0000 0.0000 0.0762 (multiplicity 6)
4 O 0.0000 0.0000 0.0000 (multiplicity 3)
5 O 0.0499 0.2700 0.1020 (multiplicity 18)